[1]
The following is a PBE-GGA calculation of crystalline Sr3CaRh at its relaxed geometry, from the Alexandria database.

Formation energy: -27 meV/atom
Total moment: 0.00 μB per cell
E above lowest polymorph: 0.87 eV per formula unit

a = 7.2252 Å, b = 11.6262 Å, c = 9.1295 Å
α = 90.00°, β = 90.00°, γ = 90.00°
Last column: nearest neighbours and their distance in Å.
Fractional coordinates of all 20 atoms:
Sr1 0.0511 0.1093 0.1490  2 Rh 3.19-3.30, 1 Sr 3.27, 1 Ca 3.47
Sr2 0.0511 0.3907 0.1490  2 Rh 3.19-3.30, 1 Sr 3.27, 1 Ca 3.47
Sr3 0.2276 0.2500 0.7386  2 Rh 3.20-3.54
Sr4 0.2724 0.7500 0.2386  2 Rh 3.20-3.54
Sr5 0.4489 0.6093 0.6490  2 Rh 3.19-3.30, 1 Sr 3.27, 1 Ca 3.47
Sr6 0.4489 0.8907 0.6490  2 Rh 3.19-3.30, 1 Sr 3.27, 1 Ca 3.47
Sr7 0.5511 0.1093 0.3510  2 Rh 3.19-3.30, 1 Sr 3.27, 1 Ca 3.47
Sr8 0.5511 0.3907 0.3510  2 Rh 3.19-3.30, 1 Sr 3.27, 1 Ca 3.47
Sr9 0.7276 0.2500 0.7614  2 Rh 3.20-3.54
Sr10 0.7724 0.7500 0.2614  2 Rh 3.20-3.54
Sr11 0.9489 0.6093 0.8510  2 Rh 3.19-3.30, 1 Sr 3.27, 1 Ca 3.47
Sr12 0.9489 0.8907 0.8510  2 Rh 3.19-3.30, 1 Sr 3.27, 1 Ca 3.47
Ca1 0.0000 0.0000 0.5000  2 Rh 3.02
Ca2 0.0000 0.5000 0.5000  2 Rh 3.02
Ca3 0.5000 0.0000 0.0000  2 Rh 3.02
Ca4 0.5000 0.5000 0.0000  2 Rh 3.02
Rh1 0.0883 0.7500 0.5572  2 Ca 3.02, 5 Sr 3.19-3.30
Rh2 0.4117 0.2500 0.0572  2 Ca 3.02, 5 Sr 3.19-3.30
Rh3 0.5883 0.7500 0.9428  2 Ca 3.02, 5 Sr 3.19-3.30
Rh4 0.9117 0.2500 0.4428  2 Ca 3.02, 5 Sr 3.19-3.30

---

[2]
The following is a PBE-GGA calculation of crystalline La6Dy3Mg at its relaxed geometry, from the Alexandria database.

Formation energy: 134 meV/atom
Total moment: 0.00 μB per cell

a = 10.4410 Å, b = 10.4410 Å, c = 10.4410 Å
α = 53.74°, β = 53.74°, γ = 53.74°
Last column: nearest neighbours and their distance in Å.
Fractional coordinates of all 20 atoms:
La1 0.0564 0.5928 0.6523  2 La 3.11-3.25
La2 0.0971 0.6840 0.8717  4 La 3.11-3.38
La3 0.1283 0.9029 0.3160  4 La 3.11-3.38
La4 0.3160 0.1283 0.9029  4 La 3.11-3.38
La5 0.3477 0.9436 0.4072  2 La 3.11-3.25
La6 0.4072 0.3477 0.9436  2 La 3.11-3.25
La7 0.5928 0.6523 0.0564  2 La 3.11-3.25
La8 0.6523 0.0564 0.5928  2 La 3.11-3.25
La9 0.6840 0.8717 0.0971  4 La 3.11-3.38
La10 0.8717 0.0971 0.6840  4 La 3.11-3.38
La11 0.9029 0.3160 0.1283  4 La 3.11-3.38
La12 0.9436 0.4072 0.3477  2 La 3.11-3.25
Dy1 0.1946 0.2279 0.5858  1 Mg 3.41, 4 Dy 3.42-3.55, 5 La 3.50-3.74
Dy2 0.2279 0.5858 0.1946  1 Mg 3.41, 4 Dy 3.42-3.55, 5 La 3.50-3.74
Dy3 0.4142 0.8054 0.7721  1 Mg 3.41, 4 Dy 3.42-3.55, 5 La 3.50-3.74
Dy4 0.5858 0.1946 0.2279  1 Mg 3.41, 4 Dy 3.42-3.55, 5 La 3.50-3.74
Dy5 0.7721 0.4142 0.8054  1 Mg 3.41, 4 Dy 3.42-3.55, 5 La 3.50-3.74
Dy6 0.8054 0.7721 0.4142  1 Mg 3.41, 4 Dy 3.42-3.55, 5 La 3.50-3.74
Mg1 0.0000 0.0000 0.0000  6 Dy 3.41, 6 La 3.66
Mg2 0.5000 0.5000 0.5000  6 La 3.57

---

[3]
The following is a PBE-GGA calculation of crystalline Al2CdBr6Cl2 at its relaxed geometry, from the Alexandria database.

Total moment: 0.00 μB per cell
Uncorrected formation energy: -106.35 kJ/mol of atoms

a = 6.7849 Å, b = 6.7849 Å, c = 9.9520 Å
α = 90.00°, β = 90.00°, γ = 120.00°
Last column: nearest neighbours and their distance in Å.
Fractional coordinates of all 11 atoms:
Al1 0.3333 0.6667 0.2510  1 Cl 2.10
Al2 0.6667 0.3333 0.7490  1 Cl 2.10
Cd1 0.0000 0.0000 0.5000  6 Br 2.84
Br1 0.0047 0.6652 0.3315  1 Al 2.36
Br2 0.3348 0.3395 0.3315  1 Al 2.36
Br3 0.3395 0.0047 0.6685  1 Al 2.36
Br4 0.6605 0.9953 0.3315  1 Al 2.36
Br5 0.6652 0.6605 0.6685  1 Al 2.36
Br6 0.9953 0.3348 0.6685  1 Al 2.36
Cl1 0.3333 0.6667 0.0401  1 Al 2.10
Cl2 0.6667 0.3333 0.9599  1 Al 2.10